A relaxed Ni2MoRh crystal. Source: Alexandria, functional PBE.

Cell lengths 2.6528, 2.6528, 7.4076 Å; angles 90.00, 90.00, 90.00 degrees
Element x y z (fractional)
1 Ni 0.0000 0.0000 0.2477
2 Ni 0.0000 0.0000 0.7523
3 Mo 0.5000 0.5000 0.5000
4 Rh 0.5000 0.5000 0.0000

## Properties
**Energy of formation from the pure elements**: 0.038 eV/atom
**Volume**: 13.0 Å³ per atom



A relaxed NaTlAs crystal. Source: Alexandria, functional PBE.

Cell lengths 6.2689, 6.2689, 6.2689 Å; angles 145.77, 145.77, 49.19 degrees
Element x y z (fractional)
1 Na 0.0000 0.0000 0.0000
2 Tl 0.7029 0.7029 0.0000
3 As 0.3458 0.3458 0.0000

## Properties
**Energy of formation from the pure elements**: -0.096 eV/atom
**Volume**: 25.9 Å³ per atom



A relaxed CsPa2Zn2O7 crystal. Source: Alexandria, functional PBE.

Cell lengths 10.2926, 10.2926, 10.2926 Å; angles 155.77, 154.93, 35.14 degrees
Element x y z (fractional)
1 Cs 0.0000 0.0000 0.0000
2 Pa 0.3857 0.3857 0.0000
3 Pa 0.6143 0.6143 0.0000
4 Zn 0.2367 0.7367 0.5000
5 Zn 0.7633 0.2633 0.5000
6 O 0.1270 0.6270 0.5000
7 O 0.2679 0.2679 0.0000
8 O 0.3861 0.8861 0.5000
9 O 0.5000 0.5000 0.0000
10 O 0.6139 0.1139 0.5000
11 O 0.7321 0.7321 0.0000
12 O 0.8730 0.3730 0.5000

## Properties
**ΔE_f (raw)**: -2511 meV per atom
**Volume**: 15.8 Å³ per atom



A relaxed Bi5Pd2 crystal. Source: Alexandria, functional PBE.

Cell lengths 8.5496, 8.5496, 6.8403 Å; angles 99.50, 99.50, 49.40 degrees
Element x y z (fractional)
1 Bi 0.0459 0.9541 0.7500
2 Bi 0.1178 0.3134 0.2925
3 Bi 0.2860 0.5319 0.0340
4 Bi 0.3134 0.1178 0.7925
5 Bi 0.4681 0.7140 0.4660
6 Bi 0.5319 0.2860 0.5340
7 Bi 0.6866 0.8822 0.2075
8 Bi 0.7140 0.4681 0.9660
9 Bi 0.8822 0.6866 0.7075
10 Bi 0.9541 0.0459 0.2500
11 Pd 0.1322 0.6544 0.4189
12 Pd 0.3456 0.8678 0.0811
13 Pd 0.6544 0.1322 0.9189
14 Pd 0.8678 0.3456 0.5811

## Properties
**Energy of formation from the pure elements**: -0.157 eV/atom
**Volume**: 26.7 Å³ per atom



A relaxed Sr4Pa3PbN8 crystal. Source: Alexandria, functional PBE.

Cell lengths 7.3139, 7.3139, 7.3139 Å; angles 60.23, 60.23, 60.23 degrees
Element x y z (fractional)
1 Sr 0.0000 0.0000 0.0000
2 Sr 0.0000 0.5000 0.5000
3 Sr 0.5000 0.0000 0.5000
4 Sr 0.5000 0.5000 0.0000
5 Pa 0.0000 0.0000 0.5000
6 Pa 0.0000 0.5000 0.0000
7 Pa 0.5000 0.0000 0.0000
8 Pb 0.5000 0.5000 0.5000
9 N 0.1917 0.7537 0.7537
10 N 0.2354 0.2354 0.2354
11 N 0.2463 0.2463 0.8083
12 N 0.2463 0.8083 0.2463
13 N 0.7537 0.1917 0.7537
14 N 0.7537 0.7537 0.1917
15 N 0.7646 0.7646 0.7646
16 N 0.8083 0.2463 0.2463

## Properties
**ΔE_f (raw)**: -1102 meV per atom
**Volume**: 17.4 Å³ per atom



A relaxed CeAlZnTc crystal. Source: Alexandria, functional PBE.

Cell lengths 4.6816, 4.6816, 4.6816 Å; angles 60.00, 60.00, 60.00 degrees
Element x y z (fractional)
1 Ce 0.0000 0.0000 0.0000
2 Al 0.5000 0.5000 0.5000
3 Zn 0.7500 0.7500 0.7500
4 Tc 0.2500 0.2500 0.2500

## Properties
**Energy of formation from the pure elements**: -0.082 eV/atom
**Volume**: 18.1 Å³ per atom



A relaxed Ca2YIr crystal. Source: Alexandria, functional PBE.

Cell lengths 10.8244, 10.8244, 10.8244 Å; angles 18.68, 18.68, 18.68 degrees
Element x y z (fractional)
1 Ca 0.2302 0.2302 0.2302
2 Ca 0.7698 0.7698 0.7698
3 Y 0.0000 0.0000 0.0000
4 Ir 0.5000 0.5000 0.5000

## Properties
**Energy of formation from the pure elements**: 0.130 eV/atom
**Volume**: 28.4 Å³ per atom



A relaxed SrTa2W crystal. Source: Alexandria, functional PBE.

Cell lengths 5.7801, 5.7801, 2.7743 Å; angles 90.00, 90.00, 117.80 degrees
Element x y z (fractional)
1 Sr 0.0000 0.0000 0.0000
2 Ta 0.0000 0.5000 0.5000
3 Ta 0.5000 0.0000 0.5000
4 W 0.5000 0.5000 0.0000

## Properties
**Energy of formation from the pure elements**: 1.091 eV/atom
**Volume**: 20.5 Å³ per atom



no.,uncorrected energy (Ry/atom),M_tot (μB per atom)
1,-0.54377,0.3294
2,-0.21128,0.0000
3,-0.53429,0.0433
4,-0.32435,0.0000
5,-0.56574,0.0000
6,-0.39771,0.0000
7,-0.34559,0.1549
8,-0.62428,0.0000